Arrangement w

Here is a relaxed HfTl2Ir crystal from the Alexandria database. Energies are from PBE-GGA.

abc: 4.8498 4.8498 4.8498
angles: 60.00 60.00 60.00
With the nearest neighbours (Å) after each atom.
Fractional coordinates of all 4 atoms:
Tl 0.2500 0.2500 0.2500  4 Hf 2.97, 4 Ir 2.97
Tl 0.7500 0.7500 0.7500  4 Hf 2.97, 4 Ir 2.97
Ir 0.5000 0.5000 0.5000  8 Tl 2.97
Hf 0.0000 0.0000 0.0000  8 Tl 2.97

Results
Space group   Fm-3m, No. 225



Arrangement x

Here is a relaxed HfTl2Ir crystal from the Alexandria database. Energies are from PBE-GGA.

abc: 7.9397 7.9397 6.3009
angles: 50.95 50.95 90.00
With the nearest neighbours (Å) after each atom.
Fractional coordinates of all 8 atoms:
Tl 0.6532 0.1250 0.2500  2 Ir 2.75, 2 Tl 2.90, 2 Hf 3.05
Tl 0.0968 0.6250 0.2500  2 Ir 2.75, 2 Tl 2.90, 2 Hf 3.05
Tl 0.3750 0.3468 0.7500  2 Ir 2.75, 2 Tl 2.90, 2 Hf 3.05
Tl 0.8750 0.9032 0.7500  2 Ir 2.75, 2 Tl 2.90, 2 Hf 3.05
Ir 0.0000 0.0000 0.0000  4 Tl 2.75, 2 Hf 2.86
Ir 0.7500 0.2500 0.5000  4 Tl 2.75, 2 Hf 2.86
Hf 0.5000 0.5000 0.0000  2 Ir 2.86, 4 Tl 3.05
Hf 0.2500 0.7500 0.5000  2 Ir 2.86, 4 Tl 3.05

Results
Space group   I-42d, No. 122



Tell me which of them is the most stable. Sure, it is arrangement w.